The following is a DFT calculation (PBE) of crystalline HoNi4Rh at its relaxed geometry.

Geometry as extended XYZ:
```
12
Lattice="3.8119 0.0000 0.0000 0.0000 6.4307 0.0000 0.0000 0.0000 7.1947" Properties=species:S:1:pos:R:3 pbc="T T T"
Ni 1.9059 1.8048 3.8378
Ni 0.0000 0.0000 0.0000
Rh 0.0000 4.8572 1.7987
Ho 0.0000 4.1618 5.3960
Rh 0.0000 1.5734 5.3960
Ni 0.0000 0.0000 3.5973
Ni 1.9059 4.6258 0.2405
Ni 1.9059 1.8048 6.9542
Ni 1.9059 4.6258 3.3568
Ni 1.9059 0.1845 1.7987
Ni 1.9059 6.2461 5.3960
Ho 0.0000 2.2688 1.7987
```

- V: 14.7 A^3/atom
- ρ: 9.46 Mg/m³
- Space-group type: Pmma
- Energy above the lowest structure with this stoichiometry: 19.9 kJ/mol of atoms
- Calculated formation energy: -1.743 kcal/mol of atoms

---

The following is a DFT calculation (PBE) of crystalline LiY2AlPt6 at its relaxed geometry.

Geometry as extended XYZ:
```
10
Lattice="-2.2872 -3.5752 3.6183 -2.6363 -4.9071 -6.5251 0.6219 -7.9494 -3.1736" Properties=species:S:1:pos:R:3 pbc="T T T"
Pt -3.3937 -10.4420 -3.8822
Pt -1.2031 -2.2230 -0.8446
Pt -2.3630 -4.0359 0.9910
Pt -1.9385 -12.3958 -7.0715
Pt -0.9079 -5.9897 -2.1983
Y -2.1929 -9.3956 -6.3870
Y -2.1086 -7.0361 0.3066
Al -2.4617 -4.2411 -1.4534
Pt -3.0985 -14.2087 -5.2358
Li 0.0000 0.0000 0.0000
```

- V: 21.4 A^3/atom
- ρ: 10.71 Mg/m³
- Space-group type: C2/m
- Calculated formation energy: -19.867 kcal/mol of atoms

---

The following is a DFT calculation (PBE) of crystalline Ag2TeS at its relaxed geometry.

Geometry as extended XYZ:
```
8
Lattice="6.0403 -0.0004 0.0000 2.4806 5.5119 0.0001 2.5441 0.3769 6.2278" Properties=species:S:1:pos:R:3 pbc="T T T"
Te 7.7583 1.8364 4.8562
Ag 8.6867 5.2339 3.7337
Ag 6.2838 4.0868 5.5304
S 0.5215 0.3337 0.3738
Ag 2.9304 0.7347 0.0118
Ag 4.1201 1.4839 2.7322
Te 6.6349 4.4313 1.9616
S 4.7097 3.7258 3.3937
```

- V: 25.9 A^3/atom
- ρ: 6.01 Mg/m³
- Space-group type: P1
- Formation energy (no corrections): 0.1 eV/f.u.
- Energy above the lowest structure with this stoichiometry: 1.3 kJ/mol of atoms

---

The following is a DFT calculation (PBE) of crystalline La2HoGe4Ir3 at its relaxed geometry.

Geometry as extended XYZ:
```
10
Lattice="-3.5376 -2.4553 -0.4001 2.1293 -2.6288 -2.6942 3.3038 -6.1659 8.6271" Properties=species:S:1:pos:R:3 pbc="T T T"
Ho 0.9478 -5.6250 2.7664
Ir 1.4452 -2.0245 -0.3535
Ge 0.4219 -5.3161 5.5203
Ir 1.1545 -6.6834 7.4334
Ge 2.1778 -3.3918 1.5596
Ge 0.0000 0.0000 0.0000
La 3.6114 -6.0673 5.3030
La -1.0117 -2.6407 1.7769
Ir 1.6519 -3.0829 4.3136
Ge -0.7041 -2.5421 -1.5472
```

- V: 20.8 A^3/atom
- ρ: 10.47 Mg/m³
- Space-group type: P-4m2
- Calculated formation energy: -17.941 kcal/mol of atoms

---

The following is a DFT calculation (PBE) of crystalline MgCrGe2I at its relaxed geometry.

Geometry as extended XYZ:
```
5
Lattice="-4.4370 -1.6287 1.5209 -1.2502 -1.4628 -5.2138 1.9283 -4.5047 0.8015" Properties=species:S:1:pos:R:3 pbc="T T T"
Ge -2.2185 -0.8144 0.7604
I -0.6251 -0.7314 -2.6069
Mg 0.0000 0.0000 0.0000
Cr -1.8795 -3.7981 -1.4457
Ge 0.9641 -2.2523 0.4007
```

- V: 27.4 A^3/atom
- ρ: 4.22 Mg/m³
- Space-group type: P4/mmm
- Formation energy (no corrections): 7.0 eV/f.u.

---

The following is a DFT calculation (PBE) of crystalline Er5Pd4Pb at its relaxed geometry.

Geometry as extended XYZ:
```
10
Lattice="-1.1728 0.0917 -3.2864 -1.5089 -3.1150 0.4516 -15.4316 8.3071 5.7391" Properties=species:S:1:pos:R:3 pbc="T T T"
Er -6.1423 1.0730 0.3682
Pb 0.0000 0.0000 0.0000
Pd -12.0862 6.5061 4.4949
Pd -9.1619 4.9320 3.4073
Er -11.9712 4.2108 2.5360
Pd -3.3455 1.8009 1.2442
Pd -6.2697 3.3751 2.3317
Er -14.8447 5.7576 3.6047
Er -9.0567 2.6419 1.4521
Er -3.2687 -0.4739 -0.7004
```

- V: 22.5 A^3/atom
- ρ: 10.86 Mg/m³
- Space-group type: P4/mmm
- Calculated formation energy: -18.743 kcal/mol of atoms

---

In μB per atom, the size of the total moment values for the records above are, in order, 0.2681; 0.0000; 0.0000; 0.0000; 0.1410; 0.0000.